Record 1
VASP calculation (PBE) on crystalline Nd7PtS5 at its relaxed geometry.

Cell: 4.0136 7.0174 24.4893 Å, 89.99 90.00 106.70°
Positions (direct):
Nd  0.4616  0.9232  0.2500
Nd  0.5390  0.0781  0.7500
Nd  0.6377  0.2753  0.0363
Nd  0.3629  0.7260  0.9638
Nd  0.3627  0.7257  0.5362
Nd  0.6377  0.2752  0.4637
Nd  0.1927  0.3859  0.1769
Nd  0.8079  0.6154  0.8231
Nd  0.8077  0.6150  0.6770
Nd  0.1928  0.3861  0.3230
Nd  0.9130  0.8260  0.1060
Nd  0.0876  0.1752  0.8940
Nd  0.0874  0.1748  0.6060
Nd  0.9131  0.8262  0.3940
Pt  0.8017  0.6035  0.2499
Pt  0.1989  0.3978  0.7501
S  0.0003  0.0006  0.0000
S  0.7256  0.4514  0.9290
S  0.2750  0.5499  0.0710
S  0.5497  0.0991  0.3573
S  0.4508  0.9019  0.6426
S  0.0002  0.0005  0.5000
S  0.2751  0.5499  0.4289
S  0.7254  0.4511  0.5710
S  0.4510  0.9023  0.8574
S  0.5496  0.0989  0.1427

Record 2
VASP calculation (PBE) on crystalline Nd6PtS5 at its relaxed geometry.

Cell: 7.1030 7.1030 7.1009 Å, 99.63 99.63 119.88°
Positions (direct):
S  0.8321  0.1679  0.5000
S  0.6660  0.3340  0.0000
S  0.5000  0.5000  0.5000
S  0.3340  0.6660  0.0000
S  0.1679  0.8321  0.5000
Nd  0.4195  0.0823  0.2503
Nd  0.9177  0.5805  0.7497
Nd  0.2527  0.2527  0.7476
Nd  0.7473  0.7473  0.2524
Nd  0.0823  0.4195  0.2503
Nd  0.5805  0.9177  0.7497
Pt  0.0000  0.0000  0.0000

Record 3
VASP calculation (PBE) on crystalline NdPtS2 at its relaxed geometry.

Cell: 3.6728 3.6728 8.3568 Å, 77.31 77.31 60.00°
Positions (direct):
S  0.1162  0.1162  0.6513
S  0.8838  0.8838  0.3487
Nd  0.0000  0.0000  0.0000
Pt  0.5000  0.5000  0.5000

Record 4
VASP calculation (PBE) on crystalline Nd2PtS at its relaxed geometry.

Cell: 4.0741 4.0741 7.5454 Å, 74.34 74.34 60.00°
Positions (direct):
S  0.0000  0.0000  0.0000
Nd  0.7517  0.7517  0.7448
Nd  0.2483  0.2483  0.2552
Pt  0.5000  0.5000  0.5000

Record 5
VASP calculation (PBE) on crystalline Nd2PtS at its relaxed geometry.

Cell: 4.0638 4.0638 7.6998 Å, 74.70 74.70 60.00°
Positions (direct):
Nd  0.0787  0.0787  0.7638
Nd  0.2551  0.2551  0.2346
Pt  0.6671  0.6671  0.9987
S  0.4990  0.4990  0.5029

Record 6
VASP calculation (PBE) on crystalline Nd2PtS at its relaxed geometry.

Cell: 4.2496 3.9702 11.7658 Å, 99.71 90.00 90.00°
Positions (direct):
Nd  0.7500  0.6861  0.3722
Nd  0.2500  0.3139  0.6278
Nd  0.7500  0.9338  0.8676
Nd  0.2500  0.0662  0.1324
Pt  0.2500  0.4542  0.9084
Pt  0.7500  0.5458  0.0916
S  0.2500  0.1904  0.3807
S  0.7500  0.8096  0.6193

Record 7
VASP calculation (PBE) on crystalline NdPtS at its relaxed geometry.

Cell: 4.2508 5.5612 5.7778 Å, 90.00 111.58 90.00°
Positions (direct):
Pt  0.4338  0.7500  0.8675
Pt  0.5662  0.2500  0.1325
S  0.8331  0.7500  0.6661
S  0.1669  0.2500  0.3339
Nd  0.8649  0.2500  0.7297
Nd  0.1351  0.7500  0.2703

Record 8
VASP calculation (PBE) on crystalline Nd4PtS3 at its relaxed geometry.

Cell: 4.0603 7.1822 7.1822 Å, 109.18 90.00 90.00°
Positions (direct):
S  0.0000  0.0000  0.5000
S  0.5000  0.5000  0.5000
S  0.0000  0.5000  0.0000
Nd  0.0000  0.2499  0.2499
Nd  0.5000  0.7469  0.2531
Nd  0.0000  0.7501  0.7501
Nd  0.5000  0.2531  0.7469
Pt  0.5000  0.0000  0.0000

M_tot, respectively: 0.000; 0.000; 0.000; 0.000; 0.000; 0.000; 0.000; 0.000 μB/atom.
Raw formation energy, respectively: -1.728; -1.876; -0.391; -1.483; -1.414; -1.551; -1.285; -1.768 eV per atom.